# La7Dy4Mg

A relaxed La7Dy4Mg crystal (GGA-PBE, Alexandria via LeMat-Bulk).

a = 5.9006 Å, b = 6.5018 Å, c = 12.6601 Å
α = 86.60°, β = 76.52°, γ = 63.02°
Atoms (fractional coordinates):
La 0.5000 0.0000 0.0000
La 0.1263 0.0190 0.7283
La 0.8737 0.9810 0.2717
La 0.2014 0.5028 0.0945
La 0.6208 0.2230 0.5355
La 0.3792 0.7770 0.4645
La 0.7986 0.4972 0.9055
Dy 0.3829 0.4356 0.7985
Dy 0.6171 0.5644 0.2015
Dy 0.8750 0.6174 0.6325
Dy 0.1250 0.3826 0.3675
Mg 0.0000 0.0000 0.0000

## Properties
Symmetry: No. 12
Energy relative to the elements, meV per atom: 208
M_tot, μB/f.u.: 0.00